Entry 1:
Compound: RbCrAg2Pt
Source: Alexandria via LeMat-Bulk
Functional: PBE
Structure: relaxed

Values from the calculation:
Total magnetization, μB/f.u.: 3.69
Calculated total energy, eV per atom: -3.89
E_form, eV/atom: 0.5735

Lattice parameters (Å, degrees): 5.2808 5.2808 4.7945 90.00 90.00 90.00
With the nearest neighbours (Å) after each atom.
Space group P4/mmm (No. 123)
Symmetry-distinct sites (fractional):
Rb (0.0000, 0.0000, 0.0000) [1 per cell]  8 Ag 3.57, 4 Pt 3.73
Cr (0.5000, 0.5000, 0.5000) [1 per cell]  2 Pt 2.40, 4 Ag 2.64
Ag (0.0000, 0.5000, 0.5000) [2 per cell]  2 Cr 2.64
Pt (0.5000, 0.5000, 0.0000) [1 per cell]  2 Cr 2.40



Entry 2:
Compound: CrAg2SnPt
Source: Alexandria via LeMat-Bulk
Functional: PBE
Structure: relaxed

Values from the calculation:
Total magnetization, μB/f.u.: 3.78
Calculated total energy, eV per atom: -4.40
E_form, eV/atom: 0.6760

Lattice parameters (Å, degrees): 5.1434 5.1434 4.6942 90.00 90.00 90.00
With the nearest neighbours (Å) after each atom.
Space group P4/mmm (No. 123)
Symmetry-distinct sites (fractional):
Cr (0.0000, 0.0000, 0.0000) [1 per cell]  2 Pt 2.35
Ag (0.0000, 0.5000, 0.5000) [2 per cell]  2 Pt 2.57
Sn (0.5000, 0.5000, 0.0000) [1 per cell]  8 Ag 3.48, 4 Cr 3.64
Pt (0.0000, 0.0000, 0.5000) [1 per cell]  2 Cr 2.35, 4 Ag 2.57



Entry 3:
Compound: Pu2CrAg
Source: Alexandria via LeMat-Bulk
Functional: PBE
Structure: relaxed

Values from the calculation:
Total magnetization, μB/f.u.: 8.68
Calculated total energy, eV per atom: -10.11
E_form, eV/atom: 0.1731

Lattice parameters (Å, degrees): 3.0942 3.0942 8.6276 90.00 90.00 90.00
With the nearest neighbours (Å) after each atom.
Space group P4/mmm (No. 123)
Symmetry-distinct sites (fractional):
Pu (0.0000, 0.0000, 0.2183) [2 per cell]  4 Cr 2.89, 4 Pu 3.09
Cr (0.5000, 0.5000, 0.0000) [1 per cell]  8 Pu 2.89, 4 Cr 3.09
Ag (0.5000, 0.5000, 0.5000) [1 per cell]  4 Ag 3.09, 8 Pu 3.27



Entry 4:
Compound: Rb3CrAg
Source: Alexandria via LeMat-Bulk
Functional: PBE
Structure: relaxed

Values from the calculation:
Total magnetization, μB/f.u.: 5.87
Calculated total energy, eV per atom: -2.40
E_form, eV/atom: 0.6717
Energy above the most stable polymorph in this dataset, meV/atom: 0

Lattice parameters (Å, degrees): 6.7499 6.7499 6.7499 90.00 90.00 90.00
With the nearest neighbours (Å) after each atom.
Space group Pm-3m (No. 221)
Symmetry-distinct sites (fractional):
Rb (0.0000, 0.0000, 0.5000) [3 per cell]  2 Ag 3.37
Cr (0.5000, 0.5000, 0.5000) [1 per cell]  12 Rb 4.77
Ag (0.0000, 0.0000, 0.0000) [1 per cell]  6 Rb 3.37



Entry 5:
Compound: RbCrAg2
Source: Alexandria via LeMat-Bulk
Functional: PBE
Structure: relaxed

Values from the calculation:
Total magnetization, μB/f.u.: 4.98
Calculated total energy, eV per atom: -3.48
E_form, eV/atom: 0.5964
Energy above the most stable polymorph in this dataset, meV/atom: 0

Lattice parameters (Å, degrees): 5.4620 5.4620 19.0026 90.00 90.00 90.00
With the nearest neighbours (Å) after each atom.
Space group I4_1/amd (No. 141, origin choice 2)
Symmetry-distinct sites (fractional):
Rb (0.0000, 0.2500, 0.3750) [4 per cell]  4 Cr 3.86, 8 Ag 3.87
Cr (0.0000, 0.2500, 0.8750) [4 per cell]  4 Ag 2.74
Ag (0.0000, 0.0000, 0.0000) [8 per cell]  2 Ag 2.73, 2 Cr 2.74



Entry 6:
Compound: RbCrAg2
Source: Alexandria via LeMat-Bulk
Functional: PBE
Structure: relaxed

Values from the calculation:
Total magnetization, μB/f.u.: 4.67
Calculated total energy, eV per atom: -3.33
E_form, eV/atom: 0.7403
Energy above the most stable polymorph in this dataset, meV/atom: 144

Lattice parameters (Å, degrees): 7.4677 7.4677 7.4677 90.00 90.00 90.00
With the nearest neighbours (Å) after each atom.
Space group Fm-3m (No. 225)
Symmetry-distinct sites (fractional):
Rb (0.0000, 0.0000, 0.0000) [4 per cell]  8 Ag 3.23
Cr (0.0000, 0.0000, 0.5000) [4 per cell]  8 Ag 3.23
Ag (0.2500, 0.2500, 0.2500) [8 per cell]  4 Rb 3.23, 4 Cr 3.23



Entry 7:
Compound: RbCrAg3
Source: Alexandria via LeMat-Bulk
Functional: PBE
Structure: relaxed

Values from the calculation:
Total magnetization, μB/f.u.: 4.34
Calculated total energy, eV per atom: -2.22
E_form, eV/atom: 1.6068
Energy above the most stable polymorph in this dataset, meV/atom: 1006

Lattice parameters (Å, degrees): 5.7828 5.7828 5.7828 90.00 90.00 90.00
With the nearest neighbours (Å) after each atom.
Space group Pm-3m (No. 221)
Symmetry-distinct sites (fractional):
Rb (0.0000, 0.0000, 0.0000) [1 per cell]  6 Ag 2.89
Cr (0.5000, 0.5000, 0.5000) [1 per cell]  12 Ag 4.09
Ag (0.0000, 0.0000, 0.5000) [3 per cell]  2 Rb 2.89



Entry 8:
Compound: RbCrAg3
Source: Alexandria via LeMat-Bulk
Functional: PBE
Structure: relaxed

Values from the calculation:
Total magnetization, μB/f.u.: 4.60
Calculated total energy, eV per atom: -3.23
E_form, eV/atom: 0.6008
Energy above the most stable polymorph in this dataset, meV/atom: 0

Lattice parameters (Å, degrees): 5.3103 5.3103 5.3103 90.00 90.00 90.00
With the nearest neighbours (Å) after each atom.
Space group Pm-3m (No. 221)
Symmetry-distinct sites (fractional):
Rb (0.0000, 0.0000, 0.0000) [1 per cell]  12 Ag 3.75
Cr (0.5000, 0.5000, 0.5000) [1 per cell]  6 Ag 2.66
Ag (0.0000, 0.5000, 0.5000) [3 per cell]  2 Cr 2.66



Entry 9:
Compound: RbCrAgS2
Source: Alexandria via LeMat-Bulk
Functional: PBE
Structure: relaxed

Values from the calculation:
Uncorrected formation energy, eV per atom: -0.56
Total magnetization, μB/f.u.: 2.25
Calculated total energy, eV per atom: -4.89

Lattice parameters (Å, degrees): 5.6546 14.0421 5.9123 90.00 90.00 90.00
With the nearest neighbours (Å) after each atom.
Space group Cmme (No. 67)
Symmetry-distinct sites (fractional):
Rb (0.0000, 0.2500, 0.2344) [4 per cell]  6 S 3.32-3.51
Cr (0.2500, 0.0000, 0.5000) [4 per cell]  4 S 2.31
Ag (0.0000, 0.0000, 0.0000) [4 per cell]  2 S 2.41
S (0.0000, 0.1063, 0.6796) [8 per cell]  2 Cr 2.31, 1 Ag 2.41



Entry 10:
Compound: RbCrAg2S4
Source: Alexandria via LeMat-Bulk
Functional: PBE
Structure: relaxed

Values from the calculation:
Uncorrected formation energy, eV per atom: -0.46
Total magnetization, μB/f.u.: 1.00
Calculated total energy, eV per atom: -4.56

Lattice parameters (Å, degrees): 6.6654 6.6654 8.7295 90.00 90.00 90.00
With the nearest neighbours (Å) after each atom.
Space group I-42m (No. 121)
Symmetry-distinct sites (fractional):
Rb (0.0000, 0.0000, 0.0000) [2 per cell]  8 S 3.25-3.54
Cr (0.0000, 0.0000, 0.5000) [2 per cell]  4 S 2.15
Ag (0.0000, 0.5000, 0.2500) [4 per cell]  4 S 2.60
S (0.1831, 0.1831, 0.6459) [8 per cell]  1 Cr 2.15



Entry 11:
Compound: Rb2CrAgS4
Source: Alexandria via LeMat-Bulk
Functional: PBE
Structure: relaxed

Values from the calculation:
Uncorrected formation energy, eV per atom: -0.74
Total magnetization, μB/f.u.: 1.00
Calculated total energy, eV per atom: -4.61

Lattice parameters (Å, degrees): 5.8451 13.4894 23.5449 90.00 90.00 90.00
With the nearest neighbours (Å) after each atom.
Space group Fddd (No. 70, origin choice 2)
Symmetry-distinct sites (fractional):
Rb (0.1250, 0.1250, 0.3033) [16 per cell]  6 S 3.40-3.64
Cr (0.1250, 0.1250, 0.6250) [8 per cell]  4 S 2.16
Ag (0.1250, 0.1250, 0.1250) [8 per cell]  4 S 2.51
S (0.0777, 0.2799, 0.8209) [32 per cell]  1 Cr 2.16



Entry 12:
Compound: RbScCr2Ag
Source: Alexandria via LeMat-Bulk
Functional: PBE
Structure: relaxed

Values from the calculation:
Total magnetization, μB/f.u.: 8.66
Calculated total energy, eV per atom: -4.85
E_form, eV/atom: 1.0333

Lattice parameters (Å, degrees): 5.3626 5.3626 5.2051 90.00 90.00 90.00
With the nearest neighbours (Å) after each atom.
Space group P4/mmm (No. 123)
Symmetry-distinct sites (fractional):
Rb (0.0000, 0.0000, 0.0000) [1 per cell]  8 Cr 3.74, 4 Sc 3.79
Sc (0.5000, 0.5000, 0.0000) [1 per cell]  2 Ag 2.60
Cr (0.0000, 0.5000, 0.5000) [2 per cell]  2 Ag 2.68
Ag (0.5000, 0.5000, 0.5000) [1 per cell]  2 Sc 2.60, 4 Cr 2.68



Entry 13:
Compound: Rb2CrAgSe4
Source: Alexandria via LeMat-Bulk
Functional: PBE
Structure: relaxed

Values from the calculation:
Uncorrected formation energy, eV per atom: -0.68
Total magnetization, μB/f.u.: 0.99
Calculated total energy, eV per atom: -4.22

Lattice parameters (Å, degrees): 6.0636 13.8940 24.2553 90.00 90.00 90.00
With the nearest neighbours (Å) after each atom.
Space group Fddd (No. 70, origin choice 2)
Symmetry-distinct sites (fractional):
Rb (0.1250, 0.1250, 0.3050) [16 per cell]  6 Se 3.50-3.74
Cr (0.1250, 0.1250, 0.6250) [8 per cell]  4 Se 2.30
Ag (0.1250, 0.1250, 0.1250) [8 per cell]  4 Se 2.62
Se (0.0822, 0.2771, 0.8185) [32 per cell]  1 Cr 2.30



Entry 14:
Compound: RbCrAg2Se4
Source: Alexandria via LeMat-Bulk
Functional: PBE
Structure: relaxed

Values from the calculation:
Uncorrected formation energy, eV per atom: -0.39
Total magnetization, μB/f.u.: 1.00
Calculated total energy, eV per atom: -4.17

Lattice parameters (Å, degrees): 7.0185 7.0185 8.9729 90.00 90.00 90.00
With the nearest neighbours (Å) after each atom.
Space group I-42m (No. 121)
Symmetry-distinct sites (fractional):
Rb (0.0000, 0.0000, 0.0000) [2 per cell]  8 Se 3.40-3.63
Cr (0.0000, 0.0000, 0.5000) [2 per cell]  4 Se 2.29
Ag (0.0000, 0.5000, 0.2500) [4 per cell]  4 Se 2.71
Se (0.1857, 0.1857, 0.3489) [8 per cell]  1 Cr 2.29



Entry 15:
Compound: RbCrAgSn2
Source: Alexandria via LeMat-Bulk
Functional: PBE
Structure: relaxed

Values from the calculation:
Total magnetization, μB/f.u.: 4.66
Calculated total energy, eV per atom: -3.55
E_form, eV/atom: 0.7423

Lattice parameters (Å, degrees): 5.3784 5.3784 5.9836 90.00 90.00 90.00
With the nearest neighbours (Å) after each atom.
Space group P4/mmm (No. 123)
Symmetry-distinct sites (fractional):
Rb (0.0000, 0.0000, 0.0000) [1 per cell]  2 Ag 2.99
Cr (0.5000, 0.5000, 0.0000) [1 per cell]  4 Rb 3.80, 8 Sn 4.02
Ag (0.0000, 0.0000, 0.5000) [1 per cell]  4 Sn 2.69, 2 Rb 2.99
Sn (0.0000, 0.5000, 0.5000) [2 per cell]  2 Ag 2.69



Entry 16:
Compound: RbSrCr2Ag
Source: Alexandria via LeMat-Bulk
Functional: PBE
Structure: relaxed

Values from the calculation:
Total magnetization, μB/f.u.: 10.55
Calculated total energy, eV per atom: -3.46
E_form, eV/atom: 1.4847

Lattice parameters (Å, degrees): 5.8421 5.8421 5.8963 90.00 90.00 90.00
With the nearest neighbours (Å) after each atom.
Space group P4/mmm (No. 123)
Symmetry-distinct sites (fractional):
Rb (0.0000, 0.0000, 0.0000) [1 per cell]  4 Cr 2.92, 2 Ag 2.95
Sr (0.5000, 0.5000, 0.5000) [1 per cell]  4 Ag 4.13, 8 Cr 4.15
Cr (0.0000, 0.5000, 0.0000) [2 per cell]  2 Rb 2.92
Ag (0.0000, 0.0000, 0.5000) [1 per cell]  2 Rb 2.95



Entry 17:
Compound: RbCrTc2Ag
Source: Alexandria via LeMat-Bulk
Functional: PBE
Structure: relaxed

Values from the calculation:
Total magnetization, μB/f.u.: 0.75
Calculated total energy, eV per atom: -3.89
E_form, eV/atom: 2.9471

Lattice parameters (Å, degrees): 4.7701 4.7701 4.8790 90.00 90.00 90.00
With the nearest neighbours (Å) after each atom.
Space group P4/mmm (No. 123)
Symmetry-distinct sites (fractional):
Rb (0.0000, 0.0000, 0.0000) [1 per cell]  4 Tc 2.39, 2 Cr 2.44
Cr (0.0000, 0.0000, 0.5000) [1 per cell]  2 Rb 2.44
Tc (0.0000, 0.5000, 0.0000) [2 per cell]  2 Rb 2.39
Ag (0.5000, 0.5000, 0.5000) [1 per cell]  4 Cr 3.37, 8 Tc 3.41



Entry 18:
Compound: RbCrAgTe2
Source: Alexandria via LeMat-Bulk
Functional: PBE
Structure: relaxed

Values from the calculation:
Uncorrected formation energy, eV per atom: -0.33
Total magnetization, μB/f.u.: 4.00
Calculated total energy, eV per atom: -4.27

Lattice parameters (Å, degrees): 6.5180 15.4932 6.5781 90.00 90.00 90.00
With the nearest neighbours (Å) after each atom.
Space group Cmme (No. 67)
Symmetry-distinct sites (fractional):
Rb (0.0000, 0.2500, 0.2270) [4 per cell]  8 Te 3.74-4.06, 2 Ag 4.15
Cr (0.2500, 0.0000, 0.5000) [4 per cell]  4 Te 2.75
Ag (0.0000, 0.0000, 0.0000) [4 per cell]  2 Te 2.67
Te (0.0000, 0.1151, 0.6988) [8 per cell]  1 Ag 2.67, 2 Cr 2.75



Entry 19:
Compound: RbZnCr2Ag
Source: Alexandria via LeMat-Bulk
Functional: PBE
Structure: relaxed

Values from the calculation:
Total magnetization, μB/f.u.: 9.00
Calculated total energy, eV per atom: -3.74
E_form, eV/atom: 1.1270

Lattice parameters (Å, degrees): 4.9837 4.9837 6.0283 90.00 90.00 90.00
With the nearest neighbours (Å) after each atom.
Space group P4/mmm (No. 123)
Symmetry-distinct sites (fractional):
Rb (0.0000, 0.0000, 0.0000) [1 per cell]  2 Zn 3.01
Zn (0.0000, 0.0000, 0.5000) [1 per cell]  4 Cr 2.49
Cr (0.0000, 0.5000, 0.5000) [2 per cell]  2 Zn 2.49
Ag (0.5000, 0.5000, 0.0000) [1 per cell]  4 Rb 3.52, 8 Cr 3.91



Entry 20:
Compound: CrReAg4
Source: Alexandria via LeMat-Bulk
Functional: PBE
Structure: relaxed

Values from the calculation:
Total magnetization, μB/f.u.: 1.64
Calculated total energy, eV per atom: -4.73
E_form, eV/atom: 0.8521

Lattice parameters (Å, degrees): 7.5504 7.5504 7.5504 90.00 90.00 90.00
With the nearest neighbours (Å) after each atom.
Space group F-43m (No. 216)
Symmetry-distinct sites (fractional):
Cr (0.0000, 0.0000, 0.0000) [4 per cell]  12 Ag 3.13, 4 Re 3.27
Re (0.2500, 0.2500, 0.7500) [4 per cell]  12 Ag 3.13, 4 Cr 3.27
Ag (0.1250, 0.1250, 0.3750) [16 per cell]  6 Ag 2.67